[1]
An optimized crystal structure of ZrCrAgS4. Source: Alexandria via LeMat-Bulk, functional PBE-GGA.

Total moment ... 3.00 μB per formula unit
E ... -6.28 eV per atom

a b c (Å): 7.414 7.414 7.414
angles (deg): 89.01 61.03 119.90
Site moments in Bohr magnetons follow the coordinates.
Sites, in units of the cell vectors:
Zr 0.500 0.500 0.000  0.04
S 0.513 0.277 0.736  -0.02
S 0.461 0.253 0.285  -0.05
S 0.987 0.751 0.736  -0.02
Zr 0.000 0.500 0.500  0.04
S 0.487 0.723 0.264  -0.02
S 0.039 0.253 0.708  -0.05
Ag 0.750 0.138 0.112  0.00
Ag 0.250 0.862 0.888  0.00
Cr 0.500 0.500 0.500  2.85
S 0.961 0.747 0.292  -0.05
S 0.013 0.249 0.264  -0.02
S 0.539 0.747 0.715  -0.05
Cr 0.000 0.000 0.500  2.85

[2]
An optimized crystal structure of Dy4ErTl7. Source: Alexandria via LeMat-Bulk, functional PBE-GGA.

Total moment ... 0.00 μB per formula unit
E ... -3.40 eV per atom

a b c (Å): 5.637 9.893 7.338
angles (deg): 80.89 67.42 73.45
Sites, in units of the cell vectors:
Dy 0.719 0.673 0.888
Tl 0.500 0.000 0.000
Tl 0.786 0.897 0.531
Dy 0.281 0.327 0.112
Er 0.000 0.000 0.000
Tl 0.083 0.675 0.160
Tl 0.917 0.325 0.840
Dy 0.415 0.783 0.386
Tl 0.367 0.543 0.723
Tl 0.633 0.457 0.277
Dy 0.585 0.217 0.614
Tl 0.214 0.103 0.469

[3]
An optimized crystal structure of NbCd2RePt. Source: Alexandria via LeMat-Bulk, functional PBE-GGA.

Total moment ... 0.00 μB per formula unit
E ... -4.30 eV per atom

a b c (Å): 5.259 4.568 5.259
angles (deg): 90.00 90.00 90.00
Sites, in units of the cell vectors:
Pt 0.500 0.500 0.500
Cd 0.000 0.000 0.500
Cd 0.500 0.000 0.000
Nb 0.000 0.000 0.000
Re 0.000 0.500 0.000

[4]
An optimized crystal structure of NaNiP2. Source: Alexandria via LeMat-Bulk, functional PBE-GGA.

Total moment ... 0.00 μB per formula unit
E ... -4.26 eV per atom

a b c (Å): 4.359 4.359 4.359
angles (deg): 60.00 60.00 60.00
Sites, in units of the cell vectors:
P 0.250 0.250 0.250
Ni 0.500 0.500 0.500
Na 0.000 0.000 0.000
P 0.750 0.750 0.750

[5]
An optimized crystal structure of BeAgSe2. Source: Alexandria via LeMat-Bulk, functional PBE-GGA.

Total moment ... 0.00 μB per formula unit
E ... -3.45 eV per atom

a b c (Å): 4.885 4.885 6.314
angles (deg): 108.47 108.47 41.24
Sites, in units of the cell vectors:
Se 0.816 0.816 0.137
Se 0.813 0.813 0.643
Be 0.315 0.315 0.423
Ag 0.556 0.556 0.297

[6]
An optimized crystal structure of Mn2AgMo. Source: Alexandria via LeMat-Bulk, functional PBE-GGA.

Total moment ... 5.82 μB per formula unit
E ... -7.69 eV per atom

a b c (Å): 2.737 2.737 8.541
angles (deg): 90.00 90.00 107.52
Site moments in Bohr magnetons follow the coordinates.
Sites, in units of the cell vectors:
Mn 0.000 0.000 0.486  3.08
Mo 0.500 0.500 0.250  -0.55
Ag 0.500 0.500 0.750  0.04
Mn 0.000 0.000 0.014  3.08

Question: E of number 6 (Mn2AgMo)?
Answer: -7.69 eV per atom

Question: Among the records above, which one has the lowest E?
Answer: Mn2AgMo